[1]
CdPd6Pt2 (GGA-PBE, optimized geometry); space-group type = P4_2/mnm, No. 136; polymorph energy (0 for the lowest one) = 0.000 eV/f.u.; total DFT energy (no corrections) = -5.026 eV/atom; energy relative to the elements = -119.7 meV/atom
1.0
4.007 0.000 0.190
0.000 8.421 0.000
-0.399 0.000 8.412
Cd Pd Pt
2 12 4
Direct
0.500 0.500 0.000
0.000 0.000 0.500
0.000 0.005 0.166
0.000 0.666 0.505
0.000 0.664 0.836
0.500 0.164 0.664
0.500 0.166 0.995
0.500 0.505 0.334
0.000 0.995 0.834
0.000 0.334 0.495
0.000 0.336 0.164
0.500 0.836 0.336
0.500 0.834 0.005
0.500 0.495 0.666
0.000 0.328 0.827
0.500 0.828 0.673
0.500 0.172 0.327
0.000 0.672 0.173

[2]
Cd2Pd8Pt3 (GGA-PBE, optimized geometry); space-group type = C2/m, No. 12; polymorph energy (0 for the lowest one) = 0.000 eV/f.u.; total DFT energy (no corrections) = -4.728 eV/atom; energy relative to the elements = 2.6 meV/atom
1.0
-1.660 4.252 -1.062
-6.670 -2.656 -0.210
2.483 2.965 6.435
Cd Pd Pt
2 8 3
Direct
0.754 0.659 0.318
0.246 0.341 0.682
0.748 0.450 0.901
0.252 0.550 0.099
0.190 0.814 0.628
0.810 0.186 0.372
0.318 0.961 0.341
0.318 0.381 0.341
0.682 0.619 0.659
0.682 0.039 0.659
0.500 0.000 0.000
0.000 0.183 0.000
0.000 0.817 0.000

[3]
Cd5Pd8Pt (GGA-PBE, optimized geometry); space-group type = I-4, No. 82; total DFT energy (no corrections) = -3.867 eV/atom; energy relative to the elements = -141.4 meV/atom
1.0
-4.716 -0.712 4.992
-3.064 -0.437 -6.172
4.710 -5.010 0.618
Cd Pd Pt
5 8 1
Direct
0.968 0.399 0.125
0.875 0.843 0.274
0.726 0.601 0.569
0.500 0.000 0.500
0.431 0.157 0.032
0.107 0.764 0.009
0.991 0.098 0.754
0.819 0.231 0.393
0.607 0.426 0.838
0.412 0.574 0.181
0.657 0.902 0.893
0.246 0.236 0.343
0.162 0.769 0.588
0.250 0.500 0.750

[4]
PuCdPdPt (GGA-PBE, optimized geometry); space-group type = F-43m, No. 216; total DFT energy (no corrections) = -7.122 eV/atom; energy relative to the elements = -501.5 meV/atom
1.0
4.832 0.000 0.000
2.416 4.185 0.000
2.416 1.395 3.945
Cd Pd Pt Pu
1 1 1 1
Direct
0.500 0.500 0.500
0.750 0.750 0.750
0.250 0.250 0.250
0.000 0.000 0.000